LiCoHgF6 | PBE+U | optimized geometry

Computed properties:
Calculated total energy ... -4.02 eV per atom
Total moment ... 0.1 μB per formula unit
V ... 225 Å³/cell
Fermi-level density of states ... 0.0 states/eV/f.u.

Lattice parameters (Å, degrees): 5.1406 5.1406 9.8453 90.00 90.00 120.00
Last column: nearest neighbours and their distance in Å.
Space group P-31c (No. 163)
Asymmetric unit:
1 Li 0.3333 0.6667 0.2500  6 F 2.03
2 Co 0.3333 0.6667 0.7500  6 F 1.87
3 Hg 0.0000 0.0000 0.0000  6 F 2.35
4 F 0.0239 0.3770 0.6427  1 Co 1.87, 1 Li 2.03